No. 1
The following is a meta-GGA SCAN calculation of Sb2PbSe at its PBEsol-relaxed geometry, from Alexandria via LeMat-Bulk.

a = 4.2883 Å, b = 4.2883 Å, c = 22.1196 Å
α = 90.00°, β = 90.00°, γ = 120.00°
Space group R3m (No. 160, hexagonal axes)
Inequivalent atoms, fractional coordinates:
Sb  0.0000  0.0000  0.0000
Sb  0.0000  0.0000  0.2632
Pb  0.0000  0.0000  0.7708
Se  0.0000  0.0000  0.5049

Summary:
Formation energy without anion corrections = -0.79 eV/f.u.
Excess energy over the best structure of this formula in the dataset = 0.0 kJ/mol of formula units

***

No. 2
The following is a meta-GGA SCAN calculation of MgV2O6 at its PBEsol-relaxed geometry, from Alexandria via LeMat-Bulk.

a = 5.127 Å, b = 5.432 Å, c = 9.628 Å
α = 90.00°, β = 90.00°, γ = 90.00°
Space group Amm2 (No. 38)
Inequivalent atoms, fractional coordinates:
Mg  0.000  0.000  0.000
V  0.000  0.000  0.375
V  0.500  0.000  0.497
O  0.000  0.000  0.205
O  0.243  0.223  0.439
O  0.500  0.000  0.661

Summary:
Formation energy without anion corrections = -23.45 eV/f.u.
Excess energy over the best structure of this formula in the dataset = 0.0 kJ/mol of formula units

***

No. 3
The following is a meta-GGA SCAN calculation of Sr3AgW at its PBEsol-relaxed geometry, from Alexandria via LeMat-Bulk.

a = 5.829 Å, b = 5.829 Å, c = 5.829 Å
α = 90.00°, β = 90.00°, γ = 90.00°
Space group Pm-3m (No. 221)
Inequivalent atoms, fractional coordinates:
Sr  0.000  0.000  0.500
Ag  0.000  0.000  0.000
W  0.500  0.500  0.500

Summary:
Calculated total energy = -32.483 eV per atom

***

No. 4
The following is a meta-GGA SCAN calculation of CaAlF2 at its PBEsol-relaxed geometry, from Alexandria via LeMat-Bulk.

a = 4.1014 Å, b = 4.1014 Å, c = 15.1428 Å
α = 90.00°, β = 90.00°, γ = 120.00°
Space group R-3m (No. 166, hexagonal axes)
Inequivalent atoms, fractional coordinates:
Ca  0.0000  0.0000  0.0000
Al  0.0000  0.0000  0.5000
F  0.0000  0.0000  0.1419

Summary:
Formation energy without anion corrections = -7.80 eV/f.u.

***

No. 5
The following is a meta-GGA SCAN calculation of TeSeI2Cl at its PBEsol-relaxed geometry, from Alexandria via LeMat-Bulk.

a = 5.603 Å, b = 5.603 Å, c = 5.262 Å
α = 90.00°, β = 90.00°, γ = 90.00°
Space group P4/mmm (No. 123)
Inequivalent atoms, fractional coordinates:
Te  0.000  0.000  0.000
Se  0.500  0.500  0.000
I  0.000  0.500  0.500
Cl  0.000  0.000  0.500

Summary:
Formation energy without anion corrections = 4.38 eV/f.u.

***

No. 6
The following is a meta-GGA SCAN calculation of CaAuS2Cl at its PBEsol-relaxed geometry, from Alexandria via LeMat-Bulk.

a = 4.845 Å, b = 4.845 Å, c = 4.803 Å
α = 90.00°, β = 90.00°, γ = 90.00°
Space group P4/mmm (No. 123)
Inequivalent atoms, fractional coordinates:
Ca  0.000  0.000  0.000
Au  0.500  0.500  0.500
S  0.000  0.500  0.500
Cl  0.500  0.500  0.000

Summary:
Formation energy without anion corrections = -3.45 eV/f.u.

***

No. 7
The following is a meta-GGA SCAN calculation of Na3GaNi at its PBEsol-relaxed geometry, from Alexandria via LeMat-Bulk.

a = 5.168 Å, b = 5.168 Å, c = 5.168 Å
α = 90.00°, β = 90.00°, γ = 90.00°
Space group Pm-3m (No. 221)
Inequivalent atoms, fractional coordinates:
Na  0.000  0.000  0.500
Ga  0.500  0.500  0.500
Ni  0.000  0.000  0.000

Summary:
Calculated total energy = -8.366 eV per atom

***

No. 8
The following is a meta-GGA SCAN calculation of AlAg3 at its PBEsol-relaxed geometry, from Alexandria via LeMat-Bulk.

a = 6.374 Å, b = 6.374 Å, c = 6.374 Å
α = 90.00°, β = 90.00°, γ = 90.00°
Space group Fm-3m (No. 225)
Inequivalent atoms, fractional coordinates:
Al  0.000  0.000  0.000
Ag  0.000  0.000  0.500
Ag  0.250  0.250  0.250

Summary:
Calculated total energy = -25.531 eV per atom

***

Repeat the fourth record exactly.
The following is a meta-GGA SCAN calculation of CaAlF2 at its PBEsol-relaxed geometry, from Alexandria via LeMat-Bulk.

a = 4.1014 Å, b = 4.1014 Å, c = 15.1428 Å
α = 90.00°, β = 90.00°, γ = 120.00°
Space group R-3m (No. 166, hexagonal axes)
Inequivalent atoms, fractional coordinates:
Ca  0.0000  0.0000  0.0000
Al  0.0000  0.0000  0.5000
F  0.0000  0.0000  0.1419

Summary:
Formation energy without anion corrections = -7.80 eV/f.u.